The following is a DFT calculation (GGA+U) of Na2ZrCoF8 after structural relaxation.

Calculated values
Calculated volume: 14.67 Å³/atom
Total energy: -5.595 eV/atom

Geometry as CIF:
```
data_Na2ZrCoF8
_space_group_name_H-M_alt 'C 1 2/m 1'
_space_group_IT_number 12
_space_group_name_Hall '-C 2y'
_cell_length_a 7.444
_cell_length_b 7.046
_cell_length_c 6.712
_cell_angle_alpha 90.00
_cell_angle_beta 90.13
_cell_angle_gamma 90.00
loop_
_atom_site_label
_atom_site_type_symbol
_atom_site_fract_x
_atom_site_fract_y
_atom_site_fract_z
Na1 Na 0.000 0.000 0.235
Zr1 Zr 0.000 0.500 0.500
Co1 Co 0.000 0.500 0.000
F1 F 0.000 0.212 0.500
F2 F 0.000 0.229 0.000
F3 F 0.181 0.500 0.268
F4 F 0.181 0.500 0.733
```